Entry from Alexandria: CaLuZn after structural relaxation (PBE).

Calculated values
As for the formation energy: -0.153 eV per atom. Its total moment is 0.00 μB/f.u. As for the density of states at the Fermi level: 2.786 states/eV/f.u.

a = 3.560 Å, b = 3.560 Å, c = 12.835 Å
α = 90.00°, β = 90.00°, γ = 90.00°
Fractional positions:
Ca1 0.000 0.000 0.000
Ca2 0.500 0.500 0.500
Lu1 0.000 0.000 0.278
Lu2 0.500 0.500 0.778
Zn1 0.000 0.000 0.656
Zn2 0.500 0.500 0.156

Entry from Alexandria: TbAgPdPt after structural relaxation (PBE).

Calculated values
As for the formation energy: -0.675 eV per atom. Its total moment is 0.00 μB/f.u. As for the density of states at the Fermi level: 1.724 states/eV/f.u. The calculation puts the energy above the lowest structure with this stoichiometry at 79 meV per atom.

a = 6.723 Å, b = 6.723 Å, c = 6.723 Å
α = 90.00°, β = 90.00°, γ = 90.00°
Fractional positions:
Tb1 0.000 0.000 0.000
Tb2 0.000 0.500 0.500
Tb3 0.500 0.000 0.500
Tb4 0.500 0.500 0.000
Ag1 0.000 0.000 0.500
Ag2 0.000 0.500 0.000
Ag3 0.500 0.000 0.000
Ag4 0.500 0.500 0.500
Pd1 0.250 0.250 0.250
Pd2 0.250 0.750 0.750
Pd3 0.750 0.250 0.750
Pd4 0.750 0.750 0.250
Pt1 0.250 0.250 0.750
Pt2 0.250 0.750 0.250
Pt3 0.750 0.250 0.250
Pt4 0.750 0.750 0.750

Entry from Alexandria: TlCuW2 after structural relaxation (PBE).

Calculated values
As for the formation energy: 1.120 eV per atom. Its total moment is 0.00 μB/f.u. As for the density of states at the Fermi level: 4.970 states/eV/f.u. The calculation puts the energy above the lowest structure with this stoichiometry at 571 meV per atom.

a = 6.420 Å, b = 6.420 Å, c = 6.420 Å
α = 90.00°, β = 90.00°, γ = 90.00°
Fractional positions:
Tl1 0.000 0.000 0.000
Tl2 0.000 0.500 0.500
Tl3 0.500 0.000 0.500
Tl4 0.500 0.500 0.000
Cu1 0.000 0.000 0.500
Cu2 0.000 0.500 0.000
Cu3 0.500 0.000 0.000
Cu4 0.500 0.500 0.500
W1 0.250 0.250 0.250
W2 0.250 0.250 0.750
W3 0.250 0.750 0.250
W4 0.250 0.750 0.750
W5 0.750 0.250 0.250
W6 0.750 0.250 0.750
W7 0.750 0.750 0.250
W8 0.750 0.750 0.750

Entry from Alexandria: PaTcGe after structural relaxation (PBE).

Calculated values
As for the formation energy: -0.514 eV per atom. Its total moment is 0.00 μB/f.u. As for the density of states at the Fermi level: 2.392 states/eV/f.u. The calculation puts the energy above the lowest structure with this stoichiometry at 0 meV per atom.

a = 7.264 Å, b = 4.540 Å, c = 6.938 Å
α = 90.00°, β = 90.00°, γ = 90.00°
Fractional positions:
Pa1 0.019 0.250 0.182
Pa2 0.481 0.750 0.682
Pa3 0.519 0.250 0.318
Pa4 0.981 0.750 0.818
Tc1 0.144 0.750 0.452
Tc2 0.356 0.250 0.952
Tc3 0.644 0.750 0.048
Tc4 0.856 0.250 0.548
Ge1 0.206 0.250 0.615
Ge2 0.294 0.750 0.115
Ge3 0.706 0.250 0.885
Ge4 0.794 0.750 0.385

Entry from Alexandria: CaCS2Cl after structural relaxation (PBE).

Calculated values
Its total moment is 0.00 μB/f.u. For the formation energy from raw total energies, the calculation gives 0.041 eV per atom. As for the density of states at the Fermi level: 1.820 states/eV/f.u. The calculation puts the energy above the lowest structure with this stoichiometry at 0 meV per atom.

a = 4.137 Å, b = 4.137 Å, c = 5.095 Å
α = 90.00°, β = 90.00°, γ = 90.00°
Fractional positions:
Ca1 0.000 0.000 0.000
C1 0.500 0.500 0.500
S1 0.000 0.500 0.500
S2 0.500 0.000 0.500
Cl1 0.500 0.500 0.000

Entry from Alexandria: ErHfIrPd after structural relaxation (PBE).

Calculated values
As for the formation energy: -0.835 eV per atom. Its total moment is 0.00 μB/f.u. As for the density of states at the Fermi level: 4.422 states/eV/f.u.

a = 6.730 Å, b = 6.730 Å, c = 6.730 Å
α = 90.00°, β = 90.00°, γ = 90.00°
Fractional positions:
Er1 0.000 0.000 0.000
Er2 0.000 0.500 0.500
Er3 0.500 0.000 0.500
Er4 0.500 0.500 0.000
Hf1 0.000 0.000 0.500
Hf2 0.000 0.500 0.000
Hf3 0.500 0.000 0.000
Hf4 0.500 0.500 0.500
Ir1 0.250 0.250 0.250
Ir2 0.250 0.750 0.750
Ir3 0.750 0.250 0.750
Ir4 0.750 0.750 0.250
Pd1 0.250 0.250 0.750
Pd2 0.250 0.750 0.250
Pd3 0.750 0.250 0.250
Pd4 0.750 0.750 0.750

Entry from Alexandria: Al3Re after structural relaxation (PBE).

Calculated values
As for the formation energy: -0.050 eV per atom. Its total moment is 0.00 μB/f.u. As for the density of states at the Fermi level: 2.091 states/eV/f.u.

a = 2.871 Å, b = 2.871 Å, c = 26.194 Å
α = 90.00°, β = 90.00°, γ = 120.00°
Fractional positions:
Al1 0.000 0.000 0.000
Al2 0.000 0.000 0.245
Al3 0.000 0.000 0.755
Al4 0.333 0.667 0.421
Al5 0.333 0.667 0.667
Al6 0.333 0.667 0.912
Al7 0.667 0.333 0.088
Al8 0.667 0.333 0.333
Al9 0.667 0.333 0.579
Re1 0.000 0.000 0.500
Re2 0.333 0.667 0.167
Re3 0.667 0.333 0.833

Entry from Alexandria: KGaIO2 after structural relaxation (PBE).

Calculated values
Its total moment is 0.00 μB/f.u. For the formation energy from raw total energies, the calculation gives -0.607 eV per atom. As for the density of states at the Fermi level: 8.362 states/eV/f.u. The calculation puts the energy above the lowest structure with this stoichiometry at 0 meV per atom.

a = 4.204 Å, b = 4.204 Å, c = 5.735 Å
α = 90.00°, β = 90.00°, γ = 90.00°
Fractional positions:
K1 0.000 0.000 0.000
Ga1 0.500 0.500 0.500
I1 0.500 0.500 0.000
O1 0.000 0.500 0.500
O2 0.500 0.000 0.500

Entry from Alexandria: CePu2Co after structural relaxation (PBE).

Calculated values
As for the formation energy: 0.062 eV per atom. Its total moment is 9.75 μB/f.u. As for the density of states at the Fermi level: 13.020 states/eV/f.u. The calculation puts the energy above the lowest structure with this stoichiometry at 0 meV per atom.

a = 3.407 Å, b = 3.407 Å, c = 7.132 Å
α = 90.00°, β = 90.00°, γ = 90.00°
Fractional positions:
Ce1 0.000 0.000 0.000
Pu1 0.500 0.500 0.290
Pu2 0.500 0.500 0.710
Co1 0.000 0.000 0.500

Entry from Alexandria: Tb6GaIr after structural relaxation (PBE).

Calculated values
As for the formation energy: -0.220 eV per atom. Its total moment is 0.00 μB/f.u. As for the density of states at the Fermi level: 10.563 states/eV/f.u.

a = 6.770 Å, b = 6.773 Å, c = 7.498 Å
α = 90.04°, β = 116.79°, γ = 119.98°
Fractional positions:
Tb1 0.020 0.079 0.248
Tb2 0.307 0.728 0.248
Tb3 0.331 0.559 0.752
Tb4 0.669 0.441 0.248
Tb5 0.693 0.272 0.752
Tb6 0.980 0.921 0.752
Ga1 0.500 0.000 0.000
Ir1 0.500 0.500 0.500

Entry from Alexandria: AlAs after structural relaxation (PBE).

Calculated values
As for the formation energy: -0.171 eV per atom. Its total moment is 0.00 μB/f.u. As for the density of states at the Fermi level: 0.476 states/eV/f.u.

a = 12.437 Å, b = 3.749 Å, c = 6.608 Å
α = 90.00°, β = 115.72°, γ = 90.00°
Fractional positions:
Al1 0.000 0.000 0.000
Al2 0.066 0.500 0.443
Al3 0.240 0.500 0.134
Al4 0.500 0.500 0.000
Al5 0.566 0.000 0.443
Al6 0.740 0.000 0.134
As1 0.044 0.500 0.795
As2 0.184 0.000 0.386
As3 0.372 0.000 0.101
As4 0.544 0.000 0.795
As5 0.684 0.500 0.386
As6 0.872 0.500 0.101

Entry from Alexandria: PmTlAgAu after structural relaxation (PBE).

Calculated values
As for the formation energy: -0.406 eV per atom. Its total moment is 0.00 μB/f.u. As for the density of states at the Fermi level: 2.613 states/eV/f.u.

a = 7.164 Å, b = 7.164 Å, c = 7.164 Å
α = 90.00°, β = 90.00°, γ = 90.00°
Fractional positions:
Pm1 0.000 0.000 0.000
Pm2 0.000 0.500 0.500
Pm3 0.500 0.000 0.500
Pm4 0.500 0.500 0.000
Tl1 0.000 0.000 0.500
Tl2 0.000 0.500 0.000
Tl3 0.500 0.000 0.000
Tl4 0.500 0.500 0.500
Ag1 0.250 0.250 0.250
Ag2 0.250 0.750 0.750
Ag3 0.750 0.250 0.750
Ag4 0.750 0.750 0.250
Au1 0.250 0.250 0.750
Au2 0.250 0.750 0.250
Au3 0.750 0.250 0.250
Au4 0.750 0.750 0.750

Entry from Alexandria: HfTe3Ir after structural relaxation (PBE).

Calculated values
Its total moment is 2.69 μB/f.u. For the formation energy from raw total energies, the calculation gives 0.951 eV per atom. As for the density of states at the Fermi level: 6.375 states/eV/f.u. The calculation puts the energy above the lowest structure with this stoichiometry at 364 meV per atom.

a = 5.460 Å, b = 5.460 Å, c = 5.460 Å
α = 90.00°, β = 90.00°, γ = 90.00°
Fractional positions:
Hf1 0.000 0.000 0.000
Te1 0.000 0.000 0.500
Te2 0.000 0.500 0.000
Te3 0.500 0.000 0.000
Ir1 0.500 0.500 0.500